Mn2PbCl6 after structural relaxation. Source: the Alexandria database, functional GGA-PBE.

The structure in POSCAR format:
```
Mn2PbCl6
1.0
6.2991 0.0000 0.0000
0.0000 5.6914 -3.2859
0.0000 0.0000 6.5718
Cl Pb Mn
6 1 2
Direct
0.7265 0.6371 0.6371
0.7265 0.3629 0.0000
0.7265 0.0000 0.3629
0.2735 0.3629 0.3629
0.2735 0.6371 0.0000
0.2735 0.0000 0.6371
0.0000 0.0000 0.0000
0.5000 0.3333 0.6667
0.5000 0.6667 0.3333
```

Computed properties:
symmetry: No. 162
total energy: -4.785 eV/atom
formation energy (no corrections): -1.1043 eV per atom